Entry 1:
Compound: Zn2PIr
Source: Alexandria via LeMat-Bulk
Functional: GGA-PBE
Structure: relaxed

Values from the calculation:
M_tot, μB/f.u.: 0.000
Fermi-level density of states, states/eV/f.u.: 1.216
E_tot, eV/atom: -4.02

abc: 2.8104 4.8050 8.9466
angles: 90.00 90.00 90.00
Space group Cmmm (No. 65)
Inequivalent atoms, fractional coordinates:
Zn: 0.0000 0.0000 0.2406 x4
P: 0.0000 0.5000 0.5000 x2
Ir: 0.0000 0.5000 0.0000 x2

---

Entry 2:
Compound: SrMg2TeO
Source: Alexandria via LeMat-Bulk
Functional: GGA-PBE
Structure: relaxed

Values from the calculation:
M_tot, μB/f.u.: 0.000
Fermi-level density of states, states/eV/f.u.: 4.820
Formation energy from raw total energies, kJ/mol of atoms: -1.1

abc: 6.2275 6.2275 4.3254
angles: 90.00 90.00 90.00
Space group P4/mmm (No. 123)
Inequivalent atoms, fractional coordinates:
Sr: 0.0000 0.0000 0.0000 x1
Mg: 0.0000 0.5000 0.0000 x2
Te: 0.5000 0.5000 0.5000 x1
O: 0.0000 0.0000 0.5000 x1

---

Entry 3:
Compound: CsSn3As
Source: Alexandria via LeMat-Bulk
Functional: GGA-PBE
Structure: relaxed

Values from the calculation:
M_tot, μB/f.u.: 0.000
Fermi-level density of states, states/eV/f.u.: 4.299
E_tot, eV/atom: -3.25

abc: 5.6730 5.6730 5.6730
angles: 90.00 90.00 90.00
Space group Pm-3m (No. 221)
Inequivalent atoms, fractional coordinates:
Cs: 0.0000 0.0000 0.0000 x1
Sn: 0.0000 0.5000 0.5000 x3
As: 0.5000 0.5000 0.5000 x1

---

Entry 4:
Compound: Y5Zr3H12
Source: Alexandria via LeMat-Bulk
Functional: GGA-PBE
Structure: relaxed

Values from the calculation:
M_tot, μB/f.u.: 0.000
Fermi-level density of states, states/eV/f.u.: 11.789
E_tot, eV/atom: -5.34

abc: 12.5961 12.5961 12.5961
angles: 90.00 90.00 90.00
Space group Ia-3d (No. 230)
Inequivalent atoms, fractional coordinates:
Y: 0.0000 0.0000 0.0000 x16
Y: 0.0000 0.2500 0.3750 x24
Zr: 0.0000 0.2500 0.1250 x24
H: 0.0033 0.0731 0.1581 x96